Entry 1:
# HfB2F | Alexandria | GGA-PBE | optimized geometry
# Energy relative to the elements, uncorrected, meV/atom: -306
# Magnetization, μB/f.u.: 0.0
# Calculated density, Mg/m³: 7.0
# Energy relative to the lowest polymorph listed for this composition, meV per atom: 0.0
data_HfB2F
_cell_length_a 7.421
_cell_length_b 7.421
_cell_length_c 3.794
_cell_angle_alpha 90.00
_cell_angle_beta 90.00
_cell_angle_gamma 90.00
_symmetry_space_group_name_H-M 'I -4 2 d'
_symmetry_Int_Tables_number 122
_symmetry_space_group_name_Hall 'I -4 2bw'
loop_
_atom_site_label
_atom_site_fract_x
_atom_site_fract_y
_atom_site_fract_z
Hf1 0.000 0.000 0.000
B1 0.224 0.250 0.125
F1 0.000 0.000 0.500

=====

Entry 2:
# Cr3CoB | Alexandria | GGA-PBE | optimized geometry
# Magnetization, μB/f.u.: 0.0
# E_form, eV per formula unit: 1.81
# Calculated density, Mg/m³: 6.7
# Energy relative to the lowest polymorph listed for this composition, meV per atom: 0.0
data_Cr3CoB
_cell_length_a 3.826
_cell_length_b 3.826
_cell_length_c 3.826
_cell_angle_alpha 90.00
_cell_angle_beta 90.00
_cell_angle_gamma 90.00
_symmetry_space_group_name_H-M 'P m -3 m'
_symmetry_Int_Tables_number 221
_symmetry_space_group_name_Hall '-P 4 2 3'
loop_
_atom_site_label
_atom_site_fract_x
_atom_site_fract_y
_atom_site_fract_z
Cr1 0.000 0.000 0.500
Co1 0.500 0.500 0.500
B1 0.000 0.000 0.000

=====

Entry 3:
# TcAsPt2 | Alexandria | GGA-PBE | optimized geometry
# Magnetization, μB/f.u.: 0.0
# E_form, eV per formula unit: 0.28
# Calculated density, Mg/m³: 15.0
data_TcAsPt2
_cell_length_a 3.340
_cell_length_b 4.387
_cell_length_c 8.527
_cell_angle_alpha 90.00
_cell_angle_beta 90.00
_cell_angle_gamma 90.00
_symmetry_space_group_name_H-M 'I m m 2'
_symmetry_Int_Tables_number 44
loop_
_symmetry_equiv_pos_as_xyz
'x,y,z'
'-x,-y,z'
'-x,y,z'
'x,-y,z'
'x+1/2,y+1/2,z+1/2'
'-x+1/2,-y+1/2,z+1/2'
'-x+1/2,y+1/2,z+1/2'
'x+1/2,-y+1/2,z+1/2'
loop_
_atom_site_label
_atom_site_fract_x
_atom_site_fract_y
_atom_site_fract_z
Tc1 0.000 0.000 0.000
As1 0.000 0.500 0.716
Pt1 0.000 0.000 0.433
Pt2 0.000 0.500 0.213

=====

Entry 4:
# Np3Ni5H12 | Alexandria | GGA-PBE | optimized geometry
# Magnetization, μB/f.u.: 12.9
# E, eV for the cell shown: -869.6
# Calculated density, Mg/m³: 9.4
data_Np3Ni5H12
_cell_length_a 11.267
_cell_length_b 11.267
_cell_length_c 11.267
_cell_angle_alpha 90.00
_cell_angle_beta 90.00
_cell_angle_gamma 90.00
_symmetry_space_group_name_H-M 'I a -3 d'
_symmetry_Int_Tables_number 230
_symmetry_space_group_name_Hall '-I 4bd 2c 3'
loop_
_atom_site_label
_atom_site_fract_x
_atom_site_fract_y
_atom_site_fract_z
Np1 0.000 0.250 0.125
Ni1 0.000 0.000 0.000
Ni2 0.000 0.250 0.375
H1 0.039 0.046 0.639

=====

- Which of these has the lowest calculated density?
  Cr3CoB

=====

- calculated density of number 4 (Np3Ni5H12)?
  9.4 Mg/m³